Material: Rb3LaRu
Method: DFT, PBE
State: optimized geometry

```
Rb3LaRu
1.0
2.8731 -10.5450 0.0000
2.8731 10.5450 0.0000
0.0000 0.0000 7.5078
Rb La Ru
6 2 2
Direct
0.0000 0.0000 0.0000 Rb
0.0000 0.0000 0.5000 Rb
0.0577 0.4411 0.2500 Rb
0.4411 0.0577 0.7500 Rb
0.5589 0.9423 0.2500 Rb
0.9423 0.5589 0.7500 Rb
0.3777 0.6223 0.7500 La
0.6223 0.3777 0.2500 La
0.1456 0.8544 0.2500 Ru
0.8544 0.1456 0.7500 Ru
```

Values from the calculation:
relative energy among the computed polymorphs = 68.3 kJ/mol of atoms
space group = Cmcm
Fermi-level density of states = 0.8197 states/eV/atom
total magnetic moment = 0.000 μB/atom